# CeVS | Alexandria via LeMat-Bulk | PBE-GGA | optimized geometry
# V   117.4 Å³ per cell
# Density   6.3 g/cm3
# Spin magnetization   1.43 μB per formula unit
# Raw total energy   -7.2610 eV per atom
# D(E_F)   1.995 states/eV per atom
data_CeVS
_symmetry_space_group_name_H-M 'P 4/n m m'
_symmetry_Int_Tables_number 129
_cell_length_a 3.6854
_cell_length_b 3.6854
_cell_length_c 8.6454
_cell_angle_alpha 90.00
_cell_angle_beta 90.00
_cell_angle_gamma 90.00
loop_
_symmetry_equiv_pos_as_xyz
'x,y,z'
'-x,-y,-z'
'-y+1/2,x,z'
'y+1/2,-x,-z'
'-x+1/2,-y+1/2,z'
'x+1/2,y+1/2,-z'
'y,-x+1/2,z'
'-y,x+1/2,-z'
'x+1/2,-y,-z'
'-x+1/2,y,z'
'-y,-x,-z'
'y,x,z'
'-x,y+1/2,-z'
'x,-y+1/2,z'
'y+1/2,x+1/2,-z'
'-y+1/2,-x+1/2,z'
loop_
_atom_site_label
_atom_site_type_symbol
_atom_site_fract_x
_atom_site_fract_y
_atom_site_fract_z
Ce1 Ce 0.2500 0.2500 0.1798
V1 V 0.2500 0.7500 0.5000
S1 S 0.2500 0.2500 0.6792


# Pr2TmI6 | Alexandria via LeMat-Bulk | PBE-GGA | optimized geometry
# V   762.8 Å³ per cell
# Density   5.3 g/cm3
# Spin magnetization   0.75 μB per formula unit
# Raw total energy   -3.7342 eV per atom
# D(E_F)   0.484 states/eV per atom
data_Pr2TmI6
_symmetry_space_group_name_H-M 'P 42/m n m'
_symmetry_Int_Tables_number 136
_symmetry_space_group_name_Hall '-P 4n 2n'
_cell_length_a 7.9050
_cell_length_b 7.9050
_cell_length_c 12.2073
_cell_angle_alpha 90.00
_cell_angle_beta 90.00
_cell_angle_gamma 90.00
loop_
_atom_site_label
_atom_site_type_symbol
_atom_site_fract_x
_atom_site_fract_y
_atom_site_fract_z
Pr1 Pr 0.0000 0.0000 0.1537
Tm1 Tm 0.0000 0.0000 0.5000
I1 I 0.2073 0.2073 0.3377
I2 I 0.2294 0.2294 0.0000


# CsSb2S4 | Alexandria via LeMat-Bulk | PBE-GGA | optimized geometry
# V   761.2 Å³ per cell
# Density   4.4 g/cm3
# Spin magnetization   0.00 μB per formula unit
# Raw total energy   -4.0588 eV per atom
# D(E_F)   0.478 states/eV per atom
data_CsSb2S4
_symmetry_space_group_name_H-M 'C m c m'
_symmetry_Int_Tables_number 63
_symmetry_space_group_name_Hall '-C 2c 2'
_cell_length_a 4.0494
_cell_length_b 13.1825
_cell_length_c 14.2601
_cell_angle_alpha 90.00
_cell_angle_beta 90.00
_cell_angle_gamma 90.00
loop_
_atom_site_label
_atom_site_type_symbol
_atom_site_fract_x
_atom_site_fract_y
_atom_site_fract_z
Cs1 Cs 0.0000 0.1001 0.2500
Sb1 Sb 0.0000 0.3629 0.0686
S1 S 0.0000 0.0000 0.0000
S2 S 0.0000 0.2662 0.5958
S3 S 0.0000 0.3922 0.2500